Below is a relaxed structure of CsAgAu3, with properties calculated at the PBE-GGA level.

Summary:
* DFT formation energy: -48 kJ/mol of formula units
* total energy: -2.807 eV/atom
* size of the total moment: 0.00 μB/f.u.

a b c (Å): 11.068 11.068 11.068
angles (deg): 29.07 29.07 29.07
Fractional positions:
Cs: 0.203 0.203 0.203
Cs: 0.797 0.797 0.797
Ag: 0.312 0.312 0.312
Ag: 0.688 0.688 0.688
Au: 0.221 0.221 0.725
Au: 0.221 0.725 0.221
Au: 0.275 0.779 0.779
Au: 0.725 0.221 0.221
Au: 0.779 0.275 0.779
Au: 0.779 0.779 0.275

Below is a relaxed structure of Cs5AgAu, with properties calculated at the PBE-GGA level.

Summary:
* DFT formation energy: -31 kJ/mol of formula units
* total energy: -1.531 eV/atom
* size of the total moment: 0.00 μB/f.u.

a b c (Å): 9.106 9.106 14.151
angles (deg): 106.80 106.80 81.23
Fractional positions:
Cs: 0.077 0.721 0.356
Cs: 0.241 0.759 0.750
Cs: 0.274 0.351 0.981
Cs: 0.279 0.923 0.144
Cs: 0.351 0.274 0.481
Cs: 0.649 0.726 0.519
Cs: 0.721 0.077 0.856
Cs: 0.726 0.649 0.019
Cs: 0.759 0.241 0.250
Cs: 0.923 0.279 0.644
Ag: 0.436 0.564 0.250
Ag: 0.564 0.436 0.750
Au: 0.000 0.500 0.500
Au: 0.500 0.000 0.000

The lowest DFT formation energy belongs to which entry? CsAgAu3

size of the total moment of number 1 (CsAgAu3)? 0.00 μB/f.u.

What is the formula in the first record? CsAgAu3